Record 1
Here is a geometry-optimized TaBeIr structure from the Alexandria database. Energies are from PBEsol.

energy relative to the elements	-1.38	eV per formula unit
density of states at the Fermi level	1.8	states/eV/f.u.
calculated total energy	-27.8	eV for the cell shown

Cell: 2.822 4.086 4.086 Å, 120.00 90.00 90.00°
Sites, in units of the cell vectors:
Be  0.000  0.000  0.000
Ir  0.000  0.667  0.333
Ta  0.500  0.333  0.667

***

Record 2
Here is a geometry-optimized Os2RuBr structure from the Alexandria database. Energies are from PBEsol.

density of states at the Fermi level	4.0	states/eV/f.u.
calculated total energy	-31.5	eV for the cell shown
energy relative to the elements, uncorrected	1253	meV per atom

Cell: 4.074 4.574 4.074 Å, 63.56 90.00 116.44°
Sites, in units of the cell vectors:
Br  0.750  0.500  0.750
Os  0.000  0.000  0.000
Os  0.250  0.500  0.250
Ru  0.500  0.000  0.500

***

Record 3
Here is a geometry-optimized Li2CdCl structure from the Alexandria database. Energies are from PBEsol.

density of states at the Fermi level	1.3	states/eV/f.u.
calculated total energy	-9.1	eV for the cell shown
energy relative to the elements, uncorrected	-483	meV per atom

Cell: 4.870 4.870 4.870 Å, 60.00 60.00 60.00°
Sites, in units of the cell vectors:
Cd  0.500  0.500  0.500
Cl  0.000  0.000  0.000
Li  0.750  0.750  0.750
Li  0.250  0.250  0.250

***

Record 4
Here is a geometry-optimized ZrAg2Pb structure from the Alexandria database. Energies are from PBEsol.

energy relative to the elements	-0.02	eV per formula unit
density of states at the Fermi level	1.6	states/eV/f.u.
calculated total energy	-19.7	eV for the cell shown

Cell: 3.087 4.377 6.171 Å, 90.00 104.49 90.00°
Sites, in units of the cell vectors:
Ag  0.918  0.000  0.836
Ag  0.323  0.500  0.645
Pb  0.174  0.000  0.348
Zr  0.558  0.500  0.116

***

Record 5
Here is a geometry-optimized La2ScTa structure from the Alexandria database. Energies are from PBEsol.

energy relative to the elements	1.50	eV per formula unit
density of states at the Fermi level	3.2	states/eV/f.u.
calculated total energy	-28.3	eV for the cell shown

Cell: 5.225 5.225 5.225 Å, 60.00 60.00 60.00°
Sites, in units of the cell vectors:
La  0.250  0.250  0.250
La  0.750  0.750  0.750
Sc  0.000  0.000  0.000
Ta  0.500  0.500  0.500

***

Record 6
Here is a geometry-optimized LiS2F structure from the Alexandria database. Energies are from PBEsol.

density of states at the Fermi level	2.1	states/eV/f.u.
calculated total energy	-12.2	eV for the cell shown
energy relative to the elements, uncorrected	106	meV per atom

Cell: 2.731 2.731 8.588 Å, 80.85 80.85 60.00°
Sites, in units of the cell vectors:
S  0.909  0.909  0.272
S  0.091  0.091  0.728
F  0.500  0.500  0.500
Li  0.000  0.000  0.000